1.
## CdInPb2 (PBE-GGA)

Data for crystalline CdInPb2 at its relaxed geometry.

abc: 4.8848 4.8848 18.2292
angles: 90.00 90.00 120.00
Closest atoms and distances in Å follow each position.
Fractional positions:
Cd1 0.0000 0.0000 0.0000  6 Pb 3.10-3.17, 1 In 3.17
Cd2 0.3333 0.6667 0.6667  6 Pb 3.10-3.17, 1 In 3.17
Cd3 0.6667 0.3333 0.3333  6 Pb 3.10-3.17, 1 In 3.17
In1 0.0000 0.0000 0.1742  1 Cd 3.17, 6 Pb 3.24-3.31
In2 0.3333 0.6667 0.8408  1 Cd 3.17, 6 Pb 3.24-3.31
In3 0.6667 0.3333 0.5075  1 Cd 3.17, 6 Pb 3.24-3.31
Pb1 0.0000 0.0000 0.4122  3 Cd 3.17, 3 In 3.31, 1 Pb 3.34
Pb2 0.0000 0.0000 0.5954  3 Cd 3.10, 3 In 3.24, 1 Pb 3.34
Pb3 0.3333 0.6667 0.0789  3 Cd 3.17, 3 In 3.31, 1 Pb 3.34
Pb4 0.3333 0.6667 0.2621  3 Cd 3.10, 3 In 3.24, 1 Pb 3.34
Pb5 0.6667 0.3333 0.7456  3 Cd 3.17, 3 In 3.31, 1 Pb 3.34
Pb6 0.6667 0.3333 0.9288  3 Cd 3.10, 3 In 3.24, 1 Pb 3.34

Properties
For the total DFT energy (no corrections), the calculation gives -2.660 eV/atom. The relative energy among the computed polymorphs is 0.079 eV per atom. As for the density of states at the Fermi level: 4.8 states/eV/cell. Its magnetic moment is 0.00 μB per atom. Its formation enthalpy at 0 K is 0.107 eV per atom.



2.
## CdIn2Pb4 (PBE-GGA)

Data for crystalline CdIn2Pb4 at its relaxed geometry.

abc: 8.4978 8.4978 8.4978
angles: 37.84 37.84 37.84
Closest atoms and distances in Å follow each position.
Fractional positions:
Cd1 0.0000 0.0000 0.0000  2 Pb 3.30, 6 In 3.36
In1 0.2877 0.2877 0.2877  5 Pb 3.23-3.50, 3 Cd 3.36
In2 0.7123 0.7123 0.7123  5 Pb 3.23-3.50, 3 Cd 3.36
Pb1 0.1396 0.1396 0.1396  1 Cd 3.30, 6 Pb 3.38-3.43, 1 In 3.50
Pb2 0.4243 0.4243 0.4243  4 In 3.23-3.36, 4 Pb 3.38-3.58
Pb3 0.5757 0.5757 0.5757  4 In 3.23-3.36, 4 Pb 3.38-3.58
Pb4 0.8604 0.8604 0.8604  1 Cd 3.30, 6 Pb 3.38-3.43, 1 In 3.50

Properties
For the total DFT energy (no corrections), the calculation gives -2.980 eV/atom. The relative energy among the computed polymorphs is 0.000 eV per atom. As for the density of states at the Fermi level: 2.5 states/eV/cell. Its magnetic moment is 0.00 μB per atom. Its formation enthalpy at 0 K is 0.053 eV per atom.



3.
## Cd2In3Pb7 (PBE-GGA)

Data for crystalline Cd2In3Pb7 at its relaxed geometry.

abc: 3.5239 5.9190 17.1398
angles: 82.47 84.27 89.81
Closest atoms and distances in Å follow each position.
Fractional positions:
Cd1 0.1718 0.3314 0.1658  6 Pb 3.34-3.57, 4 In 3.41-3.48, 2 Cd 3.52
Cd2 0.8282 0.6686 0.8342  6 Pb 3.34-3.57, 4 In 3.41-3.48, 2 Cd 3.52
In1 0.0000 0.5000 0.5000  10 Pb 3.44-3.56, 2 In 3.52
In2 0.3286 0.1732 0.8380  4 Cd 3.41-3.48, 6 Pb 3.42-3.50, 2 In 3.52
In3 0.6714 0.8268 0.1620  4 Cd 3.41-3.48, 6 Pb 3.42-3.50, 2 In 3.52
Pb1 0.0918 0.9143 0.3284  8 Pb 3.42-3.52, 3 In 3.43-3.56, 1 Cd 3.46
Pb2 0.2518 0.7495 0.9950  3 Cd 3.34-3.57, 3 In 3.42-3.43, 6 Pb 3.42-3.52
Pb3 0.4072 0.5886 0.6720  2 Cd 3.36, 7 Pb 3.42-3.56, 3 In 3.50-3.54
Pb4 0.5000 0.0000 0.5000  4 In 3.44-3.45, 8 Pb 3.50-3.56
Pb5 0.5928 0.4114 0.3280  2 Cd 3.36, 7 Pb 3.42-3.56, 3 In 3.50-3.54
Pb6 0.7482 0.2505 0.0050  3 Cd 3.34-3.57, 3 In 3.42-3.43, 6 Pb 3.42-3.52
Pb7 0.9082 0.0857 0.6716  8 Pb 3.42-3.52, 3 In 3.43-3.56, 1 Cd 3.46

Properties
For the total DFT energy (no corrections), the calculation gives -2.968 eV/atom. As for the density of states at the Fermi level: 5.3 states/eV/cell. Its magnetic moment is 0.00 μB per atom. Its formation enthalpy at 0 K is 0.032 eV per atom.



4.
## CdIn3Pb4 (PBE-GGA)

Data for crystalline CdIn3Pb4 at its relaxed geometry.

abc: 6.8941 9.7923 6.9012
angles: 90.00 90.00 90.00
Closest atoms and distances in Å follow each position.
Fractional positions:
Cd1 0.0000 0.0007 0.0000  4 In 3.42-3.43, 8 Pb 3.45-3.46
Cd2 0.5000 0.9993 0.5000  4 In 3.42-3.43, 8 Pb 3.45-3.46
In1 0.0000 0.4994 0.0000  8 Pb 3.45-3.46, 4 In 3.48-3.49
In2 0.2494 0.7541 0.2500  2 Cd 3.42-3.43, 6 Pb 3.43-3.49, 4 In 3.44-3.49
In3 0.2506 0.2459 0.7500  2 Cd 3.42-3.43, 6 Pb 3.43-3.49, 4 In 3.44-3.49
In4 0.5000 0.5006 0.5000  8 Pb 3.45-3.46, 4 In 3.48-3.49
In5 0.7494 0.2459 0.7500  2 Cd 3.42-3.43, 6 Pb 3.43-3.49, 4 In 3.44-3.49
In6 0.7506 0.7541 0.2500  2 Cd 3.42-3.43, 6 Pb 3.43-3.49, 4 In 3.44-3.49
Pb1 0.0000 0.0003 0.5002  4 In 3.43, 4 Cd 3.45, 4 Pb 3.45-3.46
Pb2 0.0000 0.4996 0.5003  8 In 3.45-3.49, 4 Pb 3.45-3.46
Pb3 0.2503 0.2499 0.2502  6 Pb 3.44-3.46, 4 In 3.45-3.46, 2 Cd 3.45-3.46
Pb4 0.2497 0.7501 0.7502  6 Pb 3.44-3.46, 4 In 3.45-3.46, 2 Cd 3.45-3.46
Pb5 0.5000 0.9997 0.0002  4 In 3.43, 4 Cd 3.45, 4 Pb 3.45-3.46
Pb6 0.5000 0.5004 0.0003  8 In 3.45-3.49, 4 Pb 3.45-3.46
Pb7 0.7497 0.2499 0.2502  6 Pb 3.44-3.46, 4 In 3.45-3.46, 2 Cd 3.45-3.46
Pb8 0.7503 0.7501 0.7502  6 Pb 3.44-3.46, 4 In 3.45-3.46, 2 Cd 3.45-3.46

Properties
For the total DFT energy (no corrections), the calculation gives -2.972 eV/atom. As for the density of states at the Fermi level: 6.6 states/eV/cell. Its magnetic moment is 0.00 μB per atom. Its formation enthalpy at 0 K is 0.024 eV per atom.